Record 1
# HoSiPb PBE relaxed
data_HoSiPb
_symmetry_space_group_name_H-M 'P 1'
_symmetry_Int_Tables_number 1
_cell_length_a 4.909
_cell_length_b 4.909
_cell_length_c 4.909
_cell_angle_alpha 60.00
_cell_angle_beta 60.00
_cell_angle_gamma 60.00
loop_
_symmetry_equiv_pos_as_xyz
'x,y,z'
loop_
_atom_site_label
_atom_site_type_symbol
_atom_site_fract_x
_atom_site_fract_y
_atom_site_fract_z
Ho1 Ho 0.000 0.000 0.000
Si1 Si 0.250 0.250 0.250
Pb1 Pb 0.500 0.500 0.500
# Size of the total moment ... 0.00 μB per atom
# Mass density ... 7.95 g cm⁻³
# Electronic total energy ... -4.6067 eV/atom
# Space-group type ... F-43m



Record 2
# DyYMg2 PBE relaxed
data_DyYMg2
_symmetry_space_group_name_H-M 'P 1'
_symmetry_Int_Tables_number 1
_cell_length_a 5.357
_cell_length_b 5.357
_cell_length_c 5.357
_cell_angle_alpha 60.00
_cell_angle_beta 60.00
_cell_angle_gamma 60.00
loop_
_symmetry_equiv_pos_as_xyz
'x,y,z'
loop_
_atom_site_label
_atom_site_type_symbol
_atom_site_fract_x
_atom_site_fract_y
_atom_site_fract_z
Dy1 Dy 0.000 0.000 0.000
Y1 Y 0.500 0.500 0.500
Mg1 Mg 0.250 0.250 0.250
Mg2 Mg 0.750 0.750 0.750
# Size of the total moment ... 0.06 μB per atom
# Mass density ... 4.58 g cm⁻³
# Electronic total energy ... -3.6315 eV/atom
# Space-group type ... Fm-3m



Record 3
# KRbHfS3 PBE relaxed
data_KRbHfS3
_symmetry_space_group_name_H-M 'P 1'
_symmetry_Int_Tables_number 1
_cell_length_a 15.581
_cell_length_b 3.865
_cell_length_c 12.344
_cell_angle_alpha 90.00
_cell_angle_beta 90.00
_cell_angle_gamma 90.00
loop_
_symmetry_equiv_pos_as_xyz
'x,y,z'
loop_
_atom_site_label
_atom_site_type_symbol
_atom_site_fract_x
_atom_site_fract_y
_atom_site_fract_z
K1 K 0.175 0.250 0.228
K2 K 0.325 0.750 0.728
K3 K 0.675 0.250 0.272
K4 K 0.825 0.750 0.772
Rb1 Rb 0.106 0.750 0.926
Rb2 Rb 0.394 0.250 0.426
Rb3 Rb 0.606 0.750 0.574
Rb4 Rb 0.894 0.250 0.074
Hf1 Hf 0.030 0.250 0.637
Hf2 Hf 0.470 0.750 0.137
Hf3 Hf 0.530 0.250 0.863
Hf4 Hf 0.970 0.750 0.363
S1 S 0.032 0.750 0.179
S2 S 0.072 0.250 0.430
S3 S 0.135 0.750 0.669
S4 S 0.365 0.250 0.169
S5 S 0.428 0.750 0.930
S6 S 0.468 0.250 0.679
S7 S 0.532 0.750 0.321
S8 S 0.572 0.250 0.070
S9 S 0.635 0.750 0.831
S10 S 0.865 0.250 0.331
S11 S 0.928 0.750 0.570
S12 S 0.968 0.250 0.821
# Relative energy among the computed polymorphs ... 0.111 eV/atom
# Size of the total moment ... 0.00 μB per atom
# Mass density ... 3.57 g cm⁻³
# Electronic total energy ... -5.4188 eV/atom
# Space-group type ... Pnma



Record 4
# CsRbZrCu2Se4 PBE relaxed
data_CsRbZrCu2Se4
_symmetry_space_group_name_H-M 'P 1'
_symmetry_Int_Tables_number 1
_cell_length_a 6.005
_cell_length_b 6.011
_cell_length_c 7.721
_cell_angle_alpha 90.00
_cell_angle_beta 112.25
_cell_angle_gamma 90.00
loop_
_symmetry_equiv_pos_as_xyz
'x,y,z'
loop_
_atom_site_label
_atom_site_type_symbol
_atom_site_fract_x
_atom_site_fract_y
_atom_site_fract_z
Cs1 Cs 0.000 0.000 0.000
Rb1 Rb 0.500 0.481 0.000
Zr1 Zr 0.500 0.738 0.500
Cu1 Cu 0.000 0.739 0.500
Cu2 Cu 0.500 0.239 0.500
Se1 Se 0.152 0.487 0.305
Se2 Se 0.343 0.990 0.695
Se3 Se 0.657 0.990 0.305
Se4 Se 0.848 0.487 0.695
# Size of the total moment ... 0.00 μB per atom
# Mass density ... 4.84 g cm⁻³
# Electronic total energy ... -4.5182 eV/atom
# Space-group type ... P2



Record 5
# ScBeIr PBE relaxed
data_ScBeIr
_symmetry_space_group_name_H-M 'P 1'
_symmetry_Int_Tables_number 1
_cell_length_a 4.243
_cell_length_b 4.243
_cell_length_c 4.243
_cell_angle_alpha 60.00
_cell_angle_beta 60.00
_cell_angle_gamma 60.00
loop_
_symmetry_equiv_pos_as_xyz
'x,y,z'
loop_
_atom_site_label
_atom_site_type_symbol
_atom_site_fract_x
_atom_site_fract_y
_atom_site_fract_z
Sc1 Sc 0.000 0.000 0.000
Be1 Be 0.750 0.750 0.750
Ir1 Ir 0.250 0.250 0.250
# Relative energy among the computed polymorphs ... 0.575 eV/atom
# Size of the total moment ... 0.00 μB per atom
# Mass density ... 7.57 g cm⁻³
# Electronic total energy ... -6.0223 eV/atom
# Space-group type ... F-43m



Record 6
# NaSnW PBE relaxed
data_NaSnW
_symmetry_space_group_name_H-M 'P 1'
_symmetry_Int_Tables_number 1
_cell_length_a 4.689
_cell_length_b 4.689
_cell_length_c 4.689
_cell_angle_alpha 60.00
_cell_angle_beta 60.00
_cell_angle_gamma 60.00
loop_
_symmetry_equiv_pos_as_xyz
'x,y,z'
loop_
_atom_site_label
_atom_site_type_symbol
_atom_site_fract_x
_atom_site_fract_y
_atom_site_fract_z
Na1 Na 0.000 0.000 0.000
Sn1 Sn 0.250 0.250 0.250
W1 W 0.500 0.500 0.500
# Relative energy among the computed polymorphs ... 0.000 eV/atom
# Size of the total moment ... 0.81 μB per atom
# Mass density ... 7.41 g cm⁻³
# Electronic total energy ... -4.9280 eV/atom
# Space-group type ... F-43m



Record 7
# NdAs PBE relaxed
data_NdAs
_symmetry_space_group_name_H-M 'P 1'
_symmetry_Int_Tables_number 1
_cell_length_a 4.116
_cell_length_b 4.116
_cell_length_c 3.805
_cell_angle_alpha 90.00
_cell_angle_beta 90.00
_cell_angle_gamma 120.00
loop_
_symmetry_equiv_pos_as_xyz
'x,y,z'
loop_
_atom_site_label
_atom_site_type_symbol
_atom_site_fract_x
_atom_site_fract_y
_atom_site_fract_z
Nd1 Nd 0.000 0.000 0.000
As1 As 0.333 0.667 0.500
# Size of the total moment ... 0.00 μB per atom
# Mass density ... 6.52 g cm⁻³
# Electronic total energy ... -5.9313 eV/atom
# Space-group type ... P-6m2



Record 8
# Nd2Sm2C2Br5 PBE relaxed
data_Nd2Sm2C2Br5
_symmetry_space_group_name_H-M 'P 1'
_symmetry_Int_Tables_number 1
_cell_length_a 9.885
_cell_length_b 9.885
_cell_length_c 8.218
_cell_angle_alpha 104.42
_cell_angle_beta 104.42
_cell_angle_gamma 22.67
loop_
_symmetry_equiv_pos_as_xyz
'x,y,z'
loop_
_atom_site_label
_atom_site_type_symbol
_atom_site_fract_x
_atom_site_fract_y
_atom_site_fract_z
Nd1 Nd 0.158 0.158 0.100
Nd2 Nd 0.842 0.842 0.900
Sm1 Sm 0.500 0.500 0.201
Sm2 Sm 0.500 0.500 0.799
C1 C 0.038 0.038 0.022
C2 C 0.962 0.962 0.978
Br1 Br 0.000 0.000 0.500
Br2 Br 0.333 0.333 0.174
Br3 Br 0.341 0.341 0.629
Br4 Br 0.659 0.659 0.371
Br5 Br 0.667 0.667 0.826
# Relative energy among the computed polymorphs ... 0.020 eV/atom
# Size of the total moment ... 0.00 μB per atom
# Mass density ... 5.62 g cm⁻³
# Electronic total energy ... -5.5127 eV/atom
# Space-group type ... C2/m



Record 9
# HfTc PBE relaxed
data_HfTc
_symmetry_space_group_name_H-M 'P 1'
_symmetry_Int_Tables_number 1
_cell_length_a 3.158
_cell_length_b 3.158
_cell_length_c 4.144
_cell_angle_alpha 90.00
_cell_angle_beta 90.00
_cell_angle_gamma 120.00
loop_
_symmetry_equiv_pos_as_xyz
'x,y,z'
loop_
_atom_site_label
_atom_site_type_symbol
_atom_site_fract_x
_atom_site_fract_y
_atom_site_fract_z
Hf1 Hf 0.000 0.000 0.000
Tc1 Tc 0.667 0.333 0.500
# Size of the total moment ... 0.00 μB per atom
# Energy of formation ... 0.00 eV per atom
# Mass density ... 12.83 g cm⁻³
# Electronic total energy ... -10.1532 eV/atom
# Space-group type ... P-6m2



Record 10
# PrSm2Co4Si4 PBE relaxed
data_PrSm2Co4Si4
_symmetry_space_group_name_H-M 'P 1'
_symmetry_Int_Tables_number 1
_cell_length_a 12.114
_cell_length_b 12.114
_cell_length_c 12.114
_cell_angle_alpha 160.97
_cell_angle_beta 160.92
_cell_angle_gamma 27.07
loop_
_symmetry_equiv_pos_as_xyz
'x,y,z'
loop_
_atom_site_label
_atom_site_type_symbol
_atom_site_fract_x
_atom_site_fract_y
_atom_site_fract_z
Pr1 Pr 0.000 0.000 0.000
Sm1 Sm 0.149 0.649 0.500
Sm2 Sm 0.851 0.351 0.500
Co1 Co 0.249 0.249 0.000
Co2 Co 0.399 0.899 0.500
Co3 Co 0.601 0.101 0.500
Co4 Co 0.751 0.751 0.000
Si1 Si 0.300 0.800 0.500
Si2 Si 0.448 0.448 0.000
Si3 Si 0.552 0.552 0.000
Si4 Si 0.700 0.200 0.500
# Size of the total moment ... 0.00 μB per atom
# Mass density ... 6.92 g cm⁻³
# Electronic total energy ... -6.5091 eV/atom
# Space-group type ... Immm



Record 11
# LaZrS3 PBE relaxed
data_LaZrS3
_symmetry_space_group_name_H-M 'P 1'
_symmetry_Int_Tables_number 1
_cell_length_a 8.236
_cell_length_b 3.855
_cell_length_c 13.587
_cell_angle_alpha 90.00
_cell_angle_beta 90.00
_cell_angle_gamma 90.00
loop_
_symmetry_equiv_pos_as_xyz
'x,y,z'
loop_
_atom_site_label
_atom_site_type_symbol
_atom_site_fract_x
_atom_site_fract_y
_atom_site_fract_z
La1 La 0.080 0.250 0.173
La2 La 0.420 0.750 0.673
La3 La 0.580 0.250 0.327
La4 La 0.920 0.750 0.827
Zr1 Zr 0.157 0.750 0.448
Zr2 Zr 0.343 0.250 0.948
Zr3 Zr 0.657 0.750 0.052
Zr4 Zr 0.843 0.250 0.552
S1 S 0.029 0.750 0.618
S2 S 0.157 0.750 0.014
S3 S 0.194 0.250 0.783
S4 S 0.306 0.750 0.283
S5 S 0.343 0.250 0.514
S6 S 0.471 0.250 0.118
S7 S 0.529 0.750 0.882
S8 S 0.657 0.750 0.486
S9 S 0.694 0.250 0.717
S10 S 0.806 0.750 0.217
S11 S 0.843 0.250 0.986
S12 S 0.971 0.250 0.382
# Relative energy among the computed polymorphs ... 0.020 eV/atom
# Size of the total moment ... 0.00 μB per atom
# Mass density ... 5.02 g cm⁻³
# Electronic total energy ... -7.0351 eV/atom
# Space-group type ... Pnma



Record 12
# PrTmZnNi2 PBE relaxed
data_PrTmZnNi2
_symmetry_space_group_name_H-M 'P 1'
_symmetry_Int_Tables_number 1
_cell_length_a 5.369
_cell_length_b 5.369
_cell_length_c 5.369
_cell_angle_alpha 133.18
_cell_angle_beta 119.63
_cell_angle_gamma 79.71
loop_
_symmetry_equiv_pos_as_xyz
'x,y,z'
loop_
_atom_site_label
_atom_site_type_symbol
_atom_site_fract_x
_atom_site_fract_y
_atom_site_fract_z
Pr1 Pr 0.000 0.000 0.000
Tm1 Tm 0.595 0.595 0.000
Zn1 Zn 0.297 0.797 0.500
Ni1 Ni 0.028 0.297 0.731
Ni2 Ni 0.565 0.297 0.269
# Size of the total moment ... 0.00 μB per atom
# Energy of formation ... -0.41 eV per atom
# Mass density ... 8.62 g cm⁻³
# Electronic total energy ... -4.7396 eV/atom
# Space-group type ... Imm2